{
  "formula": "LaY2Ge",
  "functional": "PBE",
  "state": "relaxed",
  "e_tot_ev_per_atom": -5.8985,
  "m_tot_mub_per_cell": 0.05,
  "e_form_ev_per_atom": -0.280,
  "cell": [[2.016, 1.164, 9.325], [-2.016, 1.164, 9.325], [0.000, -2.328, 9.325]],
  "species": ["La", "Y", "Y", "Ge"],
  "frac_coords": [[0.000, 0.000, 0.000], [0.555, 0.555, 0.555], [0.772, 0.772, 0.772], [0.163, 0.163, 0.163]]
}